The following is a SCAN calculation of CdRh3 at its PBEsol-relaxed geometry, from the Alexandria database.

Structure (CIF):
```
data_CdRh3
_chemical_formula_sum 'Cd1 Rh3'
_cell_length_a 2.7118
_cell_length_b 4.5922
_cell_length_c 4.7794
_cell_angle_alpha 90.00
_cell_angle_beta 93.07
_cell_angle_gamma 90.00
_space_group_name_H-M_alt 'P 1'
_space_group_IT_number 1
loop_
_space_group_symop_operation_xyz
'x,y,z'
loop_
_atom_site_label
_atom_site_fract_x
_atom_site_fract_y
_atom_site_fract_z
Rh1 0.2752 0.5000 0.7334
Cd1 0.0000 0.0000 0.0000
Rh2 0.5000 0.0000 0.5000
Rh3 0.7248 0.5000 0.2666
```

## Properties
**Formation energy from the elements**: 0.177 eV/atom
**Density of states at the Fermi level**: 5.4 states/eV per cell
**SG**: P2/m
**Uncorrected energy**: -131.02 eV/cell